Entry 1:
Material: RuWCl2
Method: DFT, PBE-GGA
State: optimized geometry

## Properties
total magnetization: 0.000 μB per formula unit
raw formation energy: 1181.2 meV/atom
E above lowest polymorph: 1379 meV per atom
space group: Fm-3m, No. 225

Unit cell a=4.3537 b=4.3537 c=4.3537 alpha=60.00 beta=60.00 gamma=60.00
Element x y z (fractional)
Ru 0.0000 0.0000 0.0000
W 0.5000 0.5000 0.5000
Cl 0.2500 0.2500 0.2500
Cl 0.7500 0.7500 0.7500

---

Entry 2:
Material: Sr2As2Pd5
Method: DFT, PBE-GGA
State: optimized geometry

## Properties
total magnetization: 0.000 μB per formula unit
space group: P4/mmm, No. 123
ΔE_f: -0.6693 eV per atom

Unit cell a=4.6455 b=4.6455 c=8.5645 alpha=90.00 beta=90.00 gamma=90.00
Element x y z (fractional)
Sr 0.0000 0.0000 0.0000
Sr 0.0000 0.0000 0.5000
As 0.5000 0.5000 0.1750
As 0.5000 0.5000 0.8250
Pd 0.5000 0.0000 0.2721
Pd 0.5000 0.0000 0.7279
Pd 0.5000 0.5000 0.5000
Pd 0.0000 0.5000 0.2721
Pd 0.0000 0.5000 0.7279

---

Entry 3:
Material: Hg2BrCl6
Method: DFT, PBE-GGA
State: optimized geometry

## Properties
total magnetization: 3.045 μB per formula unit
raw formation energy: -184.3 meV/atom
space group: C2/c, No. 15

Unit cell a=7.1456 b=9.5850 c=9.5850 alpha=87.33 beta=102.89 gamma=102.89
Element x y z (fractional)
Hg 0.3938 0.4601 0.2668
Hg 0.1062 0.7332 0.5399
Hg 0.6062 0.5399 0.7332
Hg 0.8938 0.2668 0.4601
Br 0.2500 0.9376 0.0624
Br 0.7500 0.0624 0.9376
Cl 0.4464 0.3026 0.4575
Cl 0.0536 0.5425 0.6974
Cl 0.5536 0.6974 0.5425
Cl 0.9464 0.4575 0.3026
Cl 0.8612 0.0806 0.6207
Cl 0.6388 0.3793 0.9194
Cl 0.1388 0.9194 0.3793
Cl 0.3612 0.6207 0.0806
Cl 0.1601 0.2012 0.0531
Cl 0.3399 0.9469 0.7988
Cl 0.8399 0.7988 0.9469
Cl 0.6601 0.0531 0.2012

---

Entry 4:
Material: LiCaInBr4
Method: DFT, PBE-GGA
State: optimized geometry

## Properties
total magnetization: 0.000 μB per formula unit
raw formation energy: -1459.4 meV/atom
space group: P2_1/m, No. 11

Unit cell a=7.1242 b=7.4491 c=8.9499 alpha=90.00 beta=108.32 gamma=90.00
Element x y z (fractional)
Li 0.2411 0.7500 0.3188
Li 0.7589 0.2500 0.6812
Ca 0.7931 0.7500 0.4493
Ca 0.2069 0.2500 0.5507
In 0.7436 0.7500 0.9405
In 0.2564 0.2500 0.0595
Br 0.0057 0.5009 0.7115
Br 0.9943 0.0009 0.2885
Br 0.9943 0.4991 0.2885
Br 0.0057 0.9991 0.7115
Br 0.4620 0.7500 0.1517
Br 0.5380 0.2500 0.8483
Br 0.4786 0.7500 0.5914
Br 0.5214 0.2500 0.4086

---

Entry 5:
Material: CsThSe3
Method: DFT, PBE-GGA
State: optimized geometry

## Properties
total magnetization: 0.000 μB per formula unit
raw formation energy: -1434.6 meV/atom
E above lowest polymorph: 0 meV per atom
space group: C2/m, No. 12

Unit cell a=4.4416 b=9.6692 c=10.7442 alpha=123.87 beta=90.00 gamma=103.28
Element x y z (fractional)
Cs 0.6028 0.2056 0.2697
Cs 0.3972 0.7944 0.7303
Th 0.8266 0.6533 0.2220
Th 0.1734 0.3467 0.7780
Se 0.0204 0.0408 0.4144
Se 0.9796 0.9592 0.5856
Se 0.3511 0.7023 0.0613
Se 0.6489 0.2977 0.9387
Se 0.2698 0.5395 0.3183
Se 0.7302 0.4605 0.6817

---

Entry 6:
Material: Hf5Zn4Mo
Method: DFT, PBE-GGA
State: optimized geometry

## Properties
total magnetization: 0.000 μB per formula unit
space group: P4/mmm, No. 123
ΔE_f: -0.2020 eV per atom

Unit cell a=3.3533 b=3.3533 c=16.2125 alpha=90.00 beta=90.00 gamma=90.00
Element x y z (fractional)
Hf 0.5000 0.5000 0.0960
Hf 0.5000 0.5000 0.2999
Hf 0.5000 0.5000 0.5000
Hf 0.5000 0.5000 0.7001
Hf 0.5000 0.5000 0.9040
Zn 0.0000 0.0000 0.2004
Zn 0.0000 0.0000 0.4006
Zn 0.0000 0.0000 0.5994
Zn 0.0000 0.0000 0.7996
Mo 0.0000 0.0000 0.0000

---

Entry 7:
Material: Mn2FeH6
Method: DFT, PBE-GGA
State: optimized geometry

## Properties
total magnetization: 6.978 μB per formula unit
E: -46.9 eV per cell
space group: Immm, No. 71

Unit cell a=2.9025 b=4.1211 c=5.0510 alpha=114.08 beta=106.74 gamma=90.00
Element x y z (fractional)
Mn 0.3351 0.3350 0.6701
Mn 0.6649 0.6650 0.3299
Fe 0.0000 0.0000 0.0000
H 0.8351 0.0799 0.6701
H 0.1649 0.4098 0.3299
H 0.1649 0.9201 0.3299
H 0.5000 0.2432 0.0000
H 0.8351 0.5902 0.6701
H 0.5000 0.7568 0.0000

---

Entry 8:
Material: CePm2Ho5
Method: DFT, PBE-GGA
State: optimized geometry

## Properties
total magnetization: 0.960 μB per formula unit
space group: Pbam, No. 55
ΔE_f: 0.0428 eV per atom

Unit cell a=5.0367 b=7.1062 c=14.2231 alpha=90.00 beta=90.00 gamma=90.00
Element x y z (fractional)
Ce 0.0000 0.0000 0.5000
Ce 0.0000 0.5000 0.0000
Pm 0.5000 0.2483 0.6238
Pm 0.5000 0.7517 0.3762
Pm 0.5000 0.2517 0.1238
Pm 0.5000 0.7483 0.8762
Ho 0.0000 0.0000 0.0000
Ho 0.0000 0.5000 0.5000
Ho 0.0000 0.5036 0.7503
Ho 0.0000 0.4964 0.2497
Ho 0.0000 0.9964 0.2503
Ho 0.0000 0.0036 0.7497
Ho 0.5000 0.2563 0.8762
Ho 0.5000 0.7437 0.1238
Ho 0.5000 0.2437 0.3762
Ho 0.5000 0.7563 0.6238

---

Entry 9:
Material: Pm8GaAu2
Method: DFT, PBE-GGA
State: optimized geometry

## Properties
total magnetization: 0.000 μB per formula unit
E above lowest polymorph: 0 meV per atom
space group: C2/m, No. 12
ΔE_f: -0.3822 eV per atom

Unit cell a=5.2324 b=7.0466 c=9.6521 alpha=107.66 beta=105.73 gamma=90.00
Element x y z (fractional)
Pm 0.4085 0.5346 0.8170
Pm 0.6692 0.9892 0.3385
Pm 0.8018 0.6671 0.6035
Pm 0.9765 0.2215 0.9531
Pm 0.1982 0.3329 0.3965
Pm 0.3308 0.0108 0.6615
Pm 0.5915 0.4654 0.1830
Pm 0.0235 0.7785 0.0469
Ga 0.5000 0.0000 0.0000
Au 0.8241 0.2680 0.6483
Au 0.1759 0.7320 0.3517

---

Entry 10:
Material: SnHgRh2
Method: DFT, PBE-GGA
State: optimized geometry

## Properties
total magnetization: 0.000 μB per formula unit
space group: P4/mmm, No. 123
ΔE_f: -0.1611 eV per atom

Unit cell a=3.5150 b=4.4277 c=4.4277 alpha=90.00 beta=90.00 gamma=90.00
Element x y z (fractional)
Rh 0.0000 0.0000 0.5000
Rh 0.0000 0.5000 0.0000
Hg 0.5000 0.0000 0.0000
Sn 0.5000 0.5000 0.5000

---

Entry 11:
Material: HfZrSc2
Method: DFT, PBE-GGA
State: optimized geometry

## Properties
total magnetization: 0.000 μB per formula unit
E above lowest polymorph: 26 meV per atom
space group: R-3m, No. 166
ΔE_f: 0.0503 eV per atom

Unit cell a=3.1774 b=3.1774 c=10.7674 alpha=81.52 beta=81.52 gamma=60.00
Element x y z (fractional)
Sc 0.7491 0.7491 0.7528
Sc 0.2509 0.2509 0.2472
Hf 0.0000 0.0000 0.0000
Zr 0.5000 0.5000 0.5000

---

Entry 12:
Material: HfMgTaTi2
Method: DFT, PBE-GGA
State: optimized geometry

## Properties
total magnetization: 1.990 μB per formula unit
space group: P4/mmm, No. 123
ΔE_f: 1.4837 eV per atom

Unit cell a=4.6440 b=4.9703 c=4.6440 alpha=90.00 beta=90.00 gamma=90.00
Element x y z (fractional)
Mg 0.0000 0.0000 0.0000
Ti 0.0000 0.0000 0.5000
Ti 0.5000 0.0000 0.0000
Hf 0.0000 0.5000 0.0000
Ta 0.5000 0.5000 0.5000